# 1
LaGd2Y (PBE, optimized geometry); polymorph energy (0 for the lowest one) = 0.103 eV per atom; calculated volume = 135.35 Å³ per cell; total energy = -39.04 eV/cell
1.0
1.7651 1.0191 12.5412
-1.7651 1.0191 12.5412
0.0000 -2.0381 12.5412
La Gd Y
1 2 1
direct
0.0000 0.0000 0.0000
0.0900 0.0900 0.0900
0.9100 0.9100 0.9100
0.5000 0.5000 0.5000

=====

# 2
K2InSnAu6 (PBE, optimized geometry); calculated volume = 298.44 Å³ per cell; total energy = -30.27 eV/cell
1.0
5.2578 -5.3873 0.0000
5.2578 5.3873 0.0000
-5.1772 0.0000 5.2681
K In Sn Au
2 1 1 6
direct
0.2112 0.7888 0.0000
0.7888 0.2112 0.0000
0.0000 0.0000 0.5000
0.5000 0.5000 0.5000
0.2501 0.7499 0.5000
0.3108 0.3108 0.9993
0.3131 0.3131 0.6268
0.6869 0.6869 0.3733
0.6892 0.6892 0.0007
0.7499 0.2501 0.5000

=====

no.,energy relative to the elements (kJ per mole of atoms)
1,12.5
2,-16.2